Entry 1:
VASP calculation (GGA-PBE) on a geometry-optimized Rb2TaCdSe4 structure.

Lattice parameters (Å, degrees): 6.885 7.814 12.853 83.22 74.47 63.86
Atoms (fractional coordinates):
Rb (0.180, 0.000, 0.640)
Rb (0.820, 0.000, 0.360)
Rb (0.570, 0.500, 0.860)
Rb (0.930, 0.500, 0.140)
Ta (0.250, 0.500, 0.500)
Ta (0.500, 0.000, 0.000)
Cd (0.750, 0.500, 0.500)
Cd (0.000, 0.000, 0.000)
Se (0.325, 0.803, 0.109)
Se (0.237, 0.197, 0.891)
Se (0.871, 0.803, 0.891)
Se (0.566, 0.197, 0.109)
Se (0.425, 0.697, 0.391)
Se (0.513, 0.303, 0.609)
Se (0.879, 0.697, 0.609)
Se (0.184, 0.303, 0.391)

Formation energy without anion corrections ... -0.836 eV per atom

Entry 2:
VASP calculation (GGA-PBE) on a geometry-optimized Y3NbSe structure.

Lattice parameters (Å, degrees): 5.314 5.314 5.314 90.00 90.00 90.00
Atoms (fractional coordinates):
Y (0.000, 0.500, 0.000)
Y (0.000, 0.000, 0.500)
Y (0.500, 0.000, 0.000)
Nb (0.500, 0.500, 0.500)
Se (0.000, 0.000, 0.000)

Energy relative to the lowest polymorph listed for this composition ... 0 meV per atom
Formation energy without anion corrections ... -0.005 eV per atom

Entry 3:
VASP calculation (GGA-PBE) on a geometry-optimized MnFe2Br structure.

Lattice parameters (Å, degrees): 3.230 3.230 6.008 90.00 90.00 90.00
Atoms (fractional coordinates):
Br (0.500, 0.500, 0.750)
Fe (0.000, 0.000, 0.049)
Fe (0.000, 0.000, 0.451)
Mn (0.500, 0.500, 0.250)

Energy relative to the lowest polymorph listed for this composition ... 180 meV per atom
Formation energy without anion corrections ... 0.533 eV per atom

Entry 4:
VASP calculation (GGA-PBE) on a geometry-optimized ZrV4Bi structure.

Lattice parameters (Å, degrees): 5.242 5.242 5.242 60.00 60.00 60.00
Atoms (fractional coordinates):
Bi (0.250, 0.250, 0.250)
Zr (0.000, 0.000, 0.000)
V (0.629, 0.629, 0.114)
V (0.629, 0.114, 0.629)
V (0.629, 0.629, 0.629)
V (0.114, 0.629, 0.629)

Formation enthalpy at 0 K ... 148 meV/atom

Entry 5:
VASP calculation (GGA-PBE) on a geometry-optimized AcCeCdRh structure.

Lattice parameters (Å, degrees): 5.335 5.335 5.335 60.00 60.00 60.00
Atoms (fractional coordinates):
Ac (0.750, 0.750, 0.750)
Rh (0.500, 0.500, 0.500)
Ce (0.250, 0.250, 0.250)
Cd (0.000, 0.000, 0.000)

Formation enthalpy at 0 K ... -284 meV/atom

Entry 6:
VASP calculation (GGA-PBE) on a geometry-optimized K2ReRuO6 structure.

Lattice parameters (Å, degrees): 5.575 5.575 5.577 59.99 60.00 90.00
Atoms (fractional coordinates):
K (0.750, 0.250, 0.500)
K (0.250, 0.750, 0.500)
Re (0.500, 0.500, 0.000)
Ru (0.000, 0.000, 0.000)
O (0.257, 0.257, 0.486)
O (0.743, 0.743, 0.000)
O (0.257, 0.743, 0.000)
O (0.743, 0.257, 0.000)
O (0.257, 0.257, 0.000)
O (0.743, 0.743, 0.514)

Formation energy without anion corrections ... -1.495 eV per atom

Entry 7:
VASP calculation (GGA-PBE) on a geometry-optimized TbYTh14 structure.

Lattice parameters (Å, degrees): 7.177 7.177 11.587 90.00 90.00 120.05
Atoms (fractional coordinates):
Tb (0.040, 0.960, 0.500)
Y (0.540, 0.460, 0.500)
Th (0.208, 0.792, 0.000)
Th (0.708, 0.292, 0.000)
Th (0.043, 0.456, 0.500)
Th (0.208, 0.292, 0.000)
Th (0.544, 0.957, 0.500)
Th (0.708, 0.792, 0.000)
Th (0.375, 0.125, 0.751)
Th (0.375, 0.125, 0.249)
Th (0.875, 0.625, 0.751)
Th (0.875, 0.625, 0.249)
Th (0.375, 0.625, 0.751)
Th (0.375, 0.625, 0.249)
Th (0.875, 0.125, 0.751)
Th (0.875, 0.125, 0.249)

Formation enthalpy at 0 K ... 33 meV/atom

Entry 8:
VASP calculation (GGA-PBE) on a geometry-optimized TaNiAsN2 structure.

Lattice parameters (Å, degrees): 3.812 4.345 3.812 90.00 90.00 90.00
Atoms (fractional coordinates):
Ni (0.000, 0.500, 0.000)
As (0.000, 0.000, 0.000)
N (0.000, 0.000, 0.500)
N (0.500, 0.000, 0.000)
Ta (0.500, 0.500, 0.500)

Formation energy without anion corrections ... 1.373 eV per atom

Entry 9:
VASP calculation (GGA-PBE) on a geometry-optimized LaDyP structure.

Lattice parameters (Å, degrees): 6.755 3.996 3.996 120.00 90.00 90.00
Atoms (fractional coordinates):
P (0.012, 0.000, 0.000)
La (0.754, 0.667, 0.333)
Dy (0.234, 0.333, 0.667)

Energy relative to the lowest polymorph listed for this composition ... 0 meV per atom
Formation enthalpy at 0 K ... -941 meV/atom

Entry 10:
VASP calculation (GGA-PBE) on a geometry-optimized La6TmTl2 structure.

Lattice parameters (Å, degrees): 3.880 6.950 12.278 73.65 80.91 73.79
Atoms (fractional coordinates):
La (0.674, 0.528, 0.123)
La (0.326, 0.472, 0.877)
La (0.305, 0.791, 0.599)
La (0.975, 0.708, 0.343)
La (0.025, 0.292, 0.657)
La (0.695, 0.209, 0.401)
Tm (0.000, 0.000, 0.000)
Tl (0.363, 0.091, 0.183)
Tl (0.637, 0.909, 0.817)

Energy relative to the lowest polymorph listed for this composition ... 0 meV per atom
Formation enthalpy at 0 K ... -172 meV/atom

Entry 11:
VASP calculation (GGA-PBE) on a geometry-optimized LaTcAg2 structure.

Lattice parameters (Å, degrees): 4.336 3.392 5.950 73.94 90.00 90.00
Atoms (fractional coordinates):
Ag (0.000, 0.800, 0.038)
Ag (0.500, 0.232, 0.171)
La (0.000, 0.526, 0.577)
Tc (0.500, 0.942, 0.714)

Energy relative to the lowest polymorph listed for this composition ... 109 meV per atom
Formation enthalpy at 0 K ... 321 meV/atom

Entry 12:
VASP calculation (GGA-PBE) on a geometry-optimized ErTmPtRh structure.

Lattice parameters (Å, degrees): 4.837 4.837 4.837 60.00 60.00 60.00
Atoms (fractional coordinates):
Tm (0.000, 0.000, 0.000)
Rh (0.750, 0.750, 0.750)
Pt (0.250, 0.250, 0.250)
Er (0.500, 0.500, 0.500)

Energy relative to the lowest polymorph listed for this composition ... 11 meV per atom
Formation enthalpy at 0 K ... -1110 meV/atom

E_tot for the records above, in order: -70.663; -32.969; -25.636; -48.015; -19.445; -68.618; -114.439; -32.071; -17.762; -40.314; -19.710; -26.868 eV for the cell shown